# 1
# CeFeSn2

A relaxed structure of CeFeSn2 (PBE-GGA, Alexandria).

a = 3.179 Å, b = 3.179 Å, c = 10.754 Å
α = 81.50°, β = 81.50°, γ = 60.00°
Sites, in units of the cell vectors:
1 Sn 0.102 0.102 0.693
2 Sn 0.898 0.898 0.307
3 Ce 0.000 0.000 0.000
4 Fe 0.500 0.500 0.500

Computed properties:
The calculation puts the formation energy at 239 meV per atom. As for the space group: R-3m, No. 166. The density of states at the Fermi level comes out at 1.79 states/eV/atom. Its crystal system is trigonal. The calculation puts the total energy at -5.3611 eV per atom.



# 2
# Ce8FeSn2

A relaxed structure of Ce8FeSn2 (PBE-GGA, Alexandria).

a = 5.396 Å, b = 6.503 Å, c = 9.248 Å
α = 110.04°, β = 106.96°, γ = 90.00°
Sites, in units of the cell vectors:
1 Ce 0.418 0.621 0.836
2 Ce 0.646 0.922 0.292
3 Ce 0.782 0.780 0.564
4 Ce 0.002 0.214 0.005
5 Ce 0.218 0.220 0.436
6 Ce 0.354 0.078 0.708
7 Ce 0.582 0.379 0.164
8 Ce 0.998 0.786 0.995
9 Fe 0.500 0.000 0.000
10 Sn 0.830 0.333 0.660
11 Sn 0.170 0.667 0.340

Computed properties:
The calculation puts the formation energy at -260 meV per atom. As for the space group: C2/m, No. 12. The energy above the lowest structure with this stoichiometry comes out at 12 meV/atom. The density of states at the Fermi level comes out at 2.99 states/eV/atom. Its crystal system is monoclinic. The calculation puts the total energy at -6.0723 eV per atom.



# 3
# Ce3FeSn

A relaxed structure of Ce3FeSn (PBE-GGA, Alexandria).

a = 5.075 Å, b = 5.075 Å, c = 5.075 Å
α = 90.00°, β = 90.00°, γ = 90.00°
Sites, in units of the cell vectors:
1 Sn 0.500 0.500 0.500
2 Ce 0.000 0.500 0.000
3 Ce 0.000 0.000 0.500
4 Ce 0.500 0.000 0.000
5 Fe 0.000 0.000 0.000

Computed properties:
The calculation puts the formation energy at -357 meV per atom. As for the space group: Pm-3m, No. 221. The density of states at the Fermi level comes out at 2.72 states/eV/atom. Its crystal system is cubic. The calculation puts the total energy at -6.4109 eV per atom.



# 4
# Ce7Fe2Sn

A relaxed structure of Ce7Fe2Sn (PBE-GGA, Alexandria).

a = 4.789 Å, b = 7.911 Å, c = 7.911 Å
α = 111.85°, β = 90.00°, γ = 90.00°
Sites, in units of the cell vectors:
1 Ce 0.000 0.705 0.295
2 Ce 0.000 0.295 0.705
3 Ce 0.500 0.047 0.301
4 Ce 0.500 0.953 0.699
5 Ce 0.500 0.301 0.047
6 Ce 0.500 0.699 0.953
7 Ce 0.500 0.500 0.500
8 Fe 0.500 0.680 0.320
9 Fe 0.500 0.320 0.680
10 Sn 0.000 0.000 0.000

Computed properties:
The calculation puts the formation energy at -53 meV per atom. As for the space group: Cmmm, No. 65. The density of states at the Fermi level comes out at 2.73 states/eV/atom. Its crystal system is orthorhombic. The calculation puts the total energy at -6.2991 eV per atom.



# 5
# Ce8FeSn2

A relaxed structure of Ce8FeSn2 (PBE-GGA, Alexandria).

a = 5.090 Å, b = 4.400 Å, c = 12.718 Å
α = 96.03°, β = 101.54°, γ = 90.00°
Sites, in units of the cell vectors:
1 Fe 0.500 0.000 0.000
2 Ce 0.566 0.613 0.133
3 Ce 0.343 0.756 0.686
4 Ce 0.259 0.281 0.517
5 Ce 0.050 0.183 0.099
6 Ce 0.741 0.719 0.483
7 Ce 0.657 0.244 0.314
8 Ce 0.434 0.387 0.867
9 Ce 0.950 0.817 0.901
10 Sn 0.154 0.734 0.308
11 Sn 0.846 0.266 0.692

Computed properties:
The calculation puts the formation energy at -272 meV per atom. As for the space group: C2/m, No. 12. The energy above the lowest structure with this stoichiometry comes out at 0 meV/atom. The density of states at the Fermi level comes out at 2.74 states/eV/atom. Its crystal system is monoclinic. The calculation puts the total energy at -6.0844 eV per atom.



# 6
# Ce2FeSn8

A relaxed structure of Ce2FeSn8 (PBE-GGA, Alexandria).

a = 4.660 Å, b = 4.660 Å, c = 12.371 Å
α = 90.00°, β = 90.00°, γ = 90.00°
Sites, in units of the cell vectors:
1 Fe 0.000 0.000 0.000
2 Ce 0.000 0.000 0.309
3 Ce 0.000 0.000 0.691
4 Sn 0.000 0.500 0.500
5 Sn 0.500 0.000 0.500
6 Sn 0.500 0.500 0.308
7 Sn 0.500 0.500 0.692
8 Sn 0.000 0.500 0.119
9 Sn 0.500 0.000 0.119
10 Sn 0.000 0.500 0.881
11 Sn 0.500 0.000 0.881

Computed properties:
The calculation puts the formation energy at -358 meV per atom. As for the space group: P4/mmm, No. 123. The density of states at the Fermi level comes out at 0.93 states/eV/atom. Its crystal system is tetragonal. The calculation puts the total energy at -5.1170 eV per atom.



# 7
# CeTaFe4

A relaxed structure of CeTaFe4 (PBE-GGA, Alexandria).

a = 4.975 Å, b = 4.975 Å, c = 4.975 Å
α = 60.00°, β = 60.00°, γ = 60.00°
Sites, in units of the cell vectors:
1 Fe 0.626 0.626 0.123
2 Fe 0.626 0.123 0.626
3 Fe 0.626 0.626 0.626
4 Fe 0.123 0.626 0.626
5 Ce 0.250 0.250 0.250
6 Ta 0.000 0.000 0.000

Computed properties:
The calculation puts the formation energy at 29 meV per atom. As for the space group: F-43m, No. 216. The density of states at the Fermi level comes out at 1.43 states/eV/atom. Its crystal system is cubic. The calculation puts the total energy at -8.5774 eV per atom.



# 8
# CeTaFe2

A relaxed structure of CeTaFe2 (PBE-GGA, Alexandria).

a = 3.029 Å, b = 3.029 Å, c = 7.025 Å
α = 90.00°, β = 90.00°, γ = 90.00°
Sites, in units of the cell vectors:
1 Fe 0.000 0.000 0.795
2 Fe 0.000 0.000 0.205
3 Ce 0.500 0.500 0.500
4 Ta 0.500 0.500 0.000

Computed properties:
The calculation puts the formation energy at -29 meV per atom. As for the space group: P4/mmm, No. 123. The density of states at the Fermi level comes out at 1.30 states/eV/atom. Its crystal system is tetragonal. The calculation puts the total energy at -8.7071 eV per atom.



# 9
# TbCeFe

A relaxed structure of TbCeFe (PBE-GGA, Alexandria).

a = 3.692 Å, b = 6.067 Å, c = 12.899 Å
α = 90.00°, β = 90.00°, γ = 90.00°
Sites, in units of the cell vectors:
1 Tb 0.750 0.869 0.600
2 Tb 0.750 0.369 0.900
3 Tb 0.250 0.631 0.100
4 Tb 0.250 0.131 0.400
5 Ce 0.750 0.623 0.353
6 Ce 0.750 0.123 0.147
7 Ce 0.250 0.877 0.853
8 Ce 0.250 0.377 0.647
9 Fe 0.250 0.643 0.464
10 Fe 0.750 0.357 0.536
11 Fe 0.750 0.857 0.964
12 Fe 0.250 0.143 0.036

Computed properties:
The calculation puts the formation energy at -77 meV per atom. As for the space group: Pnma, No. 62. The energy above the lowest structure with this stoichiometry comes out at 0 meV/atom. The density of states at the Fermi level comes out at 1.48 states/eV/atom. Its crystal system is orthorhombic. The calculation puts the total energy at -6.4188 eV per atom.



# 10
# TbCeFe

A relaxed structure of TbCeFe (PBE-GGA, Alexandria).

a = 5.229 Å, b = 5.229 Å, c = 6.938 Å
α = 67.88°, β = 67.89°, γ = 59.99°
Sites, in units of the cell vectors:
1 Fe 0.262 0.262 0.213
2 Fe 0.738 0.738 0.787
3 Tb 0.882 0.882 0.354
4 Tb 0.118 0.118 0.646
5 Ce 0.626 0.626 0.122
6 Ce 0.374 0.374 0.878

Computed properties:
The calculation puts the formation energy at -24 meV per atom. As for the space group: R-3m, No. 166. The energy above the lowest structure with this stoichiometry comes out at 53 meV/atom. The density of states at the Fermi level comes out at 0.78 states/eV/atom. Its crystal system is trigonal. The calculation puts the total energy at -6.3661 eV per atom.



# 11
# TbCeFe

A relaxed structure of TbCeFe (PBE-GGA, Alexandria).

a = 4.990 Å, b = 4.040 Å, c = 4.040 Å
α = 120.00°, β = 90.00°, γ = 90.00°
Sites, in units of the cell vectors:
1 Tb 0.666 0.667 0.333
2 Fe 0.168 0.000 0.000
3 Ce 0.166 0.333 0.667

Computed properties:
The calculation puts the formation energy at 48 meV per atom. As for the space group: P3m1, No. 156. The energy above the lowest structure with this stoichiometry comes out at 124 meV/atom. The density of states at the Fermi level comes out at 0.75 states/eV/atom. Its crystal system is trigonal. The calculation puts the total energy at -6.2946 eV per atom.



# 12
# TbCe3Fe

A relaxed structure of TbCe3Fe (PBE-GGA, Alexandria).

a = 5.187 Å, b = 5.187 Å, c = 5.187 Å
α = 90.00°, β = 90.00°, γ = 90.00°
Sites, in units of the cell vectors:
1 Tb 0.500 0.500 0.500
2 Fe 0.000 0.000 0.000
3 Ce 0.000 0.500 0.000
4 Ce 0.000 0.000 0.500
5 Ce 0.500 0.000 0.000

Computed properties:
The calculation puts the formation energy at 108 meV per atom. As for the space group: Pm-3m, No. 221. The density of states at the Fermi level comes out at 2.91 states/eV/atom. Its crystal system is cubic. The calculation puts the total energy at -6.0706 eV per atom.



# 13
# Tb2CeFe2

A relaxed structure of Tb2CeFe2 (PBE-GGA, Alexandria).

a = 5.610 Å, b = 5.610 Å, c = 7.568 Å
α = 82.06°, β = 82.06°, γ = 62.44°
Sites, in units of the cell vectors:
1 Tb 0.466 0.229 0.150
2 Tb 0.771 0.534 0.350
3 Tb 0.534 0.771 0.850
4 Tb 0.229 0.466 0.650
5 Ce 0.113 0.887 0.250
6 Ce 0.887 0.113 0.750
7 Fe 0.732 0.998 0.515
8 Fe 0.002 0.268 0.985
9 Fe 0.268 0.002 0.485
10 Fe 0.998 0.732 0.015

Computed properties:
The calculation puts the formation energy at -26 meV per atom. As for the space group: C2/c, No. 15. The density of states at the Fermi level comes out at 0.77 states/eV/atom. Its crystal system is monoclinic. The calculation puts the total energy at -6.4496 eV per atom.



# 14
# TbCeFe

A relaxed structure of TbCeFe (PBE-GGA, Alexandria).

a = 3.337 Å, b = 3.337 Å, c = 6.785 Å
α = 104.23°, β = 104.23°, γ = 90.00°
Sites, in units of the cell vectors:
1 Tb 0.035 0.035 0.070
2 Fe 0.673 0.673 0.346
3 Ce 0.292 0.292 0.584

Computed properties:
The calculation puts the formation energy at 81 meV per atom. As for the space group: I4mm, No. 107. The energy above the lowest structure with this stoichiometry comes out at 158 meV/atom. The density of states at the Fermi level comes out at 1.63 states/eV/atom. Its crystal system is tetragonal. The calculation puts the total energy at -6.2608 eV per atom.



# 15
# TbCe2Fe9

A relaxed structure of TbCe2Fe9 (PBE-GGA, Alexandria).

a = 5.061 Å, b = 5.061 Å, c = 8.716 Å
α = 73.12°, β = 73.12°, γ = 60.00°
Sites, in units of the cell vectors:
1 Tb 0.000 0.000 0.000
2 Ce 0.857 0.857 0.430
3 Ce 0.143 0.143 0.570
4 Fe 0.667 0.667 0.999
5 Fe 0.333 0.333 0.001
6 Fe 0.500 0.500 0.500
7 Fe 0.420 0.420 0.243
8 Fe 0.917 0.420 0.243
9 Fe 0.420 0.917 0.243
10 Fe 0.580 0.580 0.757
11 Fe 0.580 0.083 0.757
12 Fe 0.083 0.580 0.757

Computed properties:
The calculation puts the formation energy at -67 meV per atom. As for the space group: R-3m, No. 166. The density of states at the Fermi level comes out at 1.17 states/eV/atom. Its crystal system is trigonal. The calculation puts the total energy at -7.7888 eV per atom.



# 16
# Tb3CeFe

A relaxed structure of Tb3CeFe (PBE-GGA, Alexandria).

a = 5.289 Å, b = 5.289 Å, c = 5.289 Å
α = 90.00°, β = 90.00°, γ = 90.00°
Sites, in units of the cell vectors:
1 Tb 0.000 0.500 0.000
2 Tb 0.000 0.000 0.500
3 Tb 0.500 0.000 0.000
4 Fe 0.000 0.000 0.000
5 Ce 0.500 0.500 0.500

Computed properties:
The calculation puts the formation energy at 196 meV per atom. As for the space group: Pm-3m, No. 221. The density of states at the Fermi level comes out at 2.40 states/eV/atom. Its crystal system is cubic. The calculation puts the total energy at -5.4611 eV per atom.



# 17
# CeFeTc

A relaxed structure of CeFeTc (PBE-GGA, Alexandria).

a = 4.385 Å, b = 3.879 Å, c = 3.879 Å
α = 120.00°, β = 90.00°, γ = 90.00°
Sites, in units of the cell vectors:
1 Tc 0.106 0.000 0.000
2 Ce 0.662 0.667 0.333
3 Fe 0.232 0.333 0.667

Computed properties:
The calculation puts the formation energy at 120 meV per atom. As for the space group: P3m1, No. 156. The energy above the lowest structure with this stoichiometry comes out at 194 meV/atom. The density of states at the Fermi level comes out at 1.61 states/eV/atom. Its crystal system is trigonal. The calculation puts the total energy at -8.1345 eV per atom.



# 18
# CeFeTc

A relaxed structure of CeFeTc (PBE-GGA, Alexandria).

a = 5.010 Å, b = 5.010 Å, c = 6.034 Å
α = 84.02°, β = 129.40°, γ = 111.17°
Sites, in units of the cell vectors:
1 Ce 0.229 0.634 0.863
2 Ce 0.771 0.366 0.137
3 Tc 0.000 0.000 0.500
4 Tc 0.500 0.500 0.500
5 Fe 0.248 0.000 0.248
6 Fe 0.752 0.000 0.752

Computed properties:
The calculation puts the formation energy at 136 meV per atom. As for the space group: C2/m, No. 12. The energy above the lowest structure with this stoichiometry comes out at 210 meV/atom. The density of states at the Fermi level comes out at 1.18 states/eV/atom. Its crystal system is monoclinic. The calculation puts the total energy at -8.1185 eV per atom.



# 19
# Ce2FeTc

A relaxed structure of Ce2FeTc (PBE-GGA, Alexandria).

a = 3.108 Å, b = 3.108 Å, c = 9.483 Å
α = 80.57°, β = 80.57°, γ = 60.00°
Sites, in units of the cell vectors:
1 Tc 0.000 0.000 0.000
2 Ce 0.088 0.088 0.735
3 Ce 0.912 0.912 0.265
4 Fe 0.500 0.500 0.500

Computed properties:
The calculation puts the formation energy at 486 meV per atom. As for the space group: R-3m, No. 166. The density of states at the Fermi level comes out at 2.02 states/eV/atom. Its crystal system is trigonal. The calculation puts the total energy at -7.1883 eV per atom.



# 20
# Ce2FeTc

A relaxed structure of Ce2FeTc (PBE-GGA, Alexandria).

a = 3.427 Å, b = 3.427 Å, c = 6.729 Å
α = 90.00°, β = 90.00°, γ = 90.00°
Sites, in units of the cell vectors:
1 Tc 0.500 0.500 0.000
2 Ce 0.000 0.000 0.742
3 Ce 0.000 0.000 0.258
4 Fe 0.500 0.500 0.500

Computed properties:
The calculation puts the formation energy at 66 meV per atom. As for the space group: P4/mmm, No. 123. The density of states at the Fermi level comes out at 0.91 states/eV/atom. Its crystal system is tetragonal. The calculation puts the total energy at -7.6083 eV per atom.